DFT (PBE) results for a relaxed CoP2W crystal.

a = 7.3164 Å, b = 7.3164 Å, c = 7.3164 Å
α = 23.49°, β = 23.49°, γ = 23.49°
Sites, in units of the cell vectors:
Co (0.0000, 0.0000, 0.0000)
P (0.4874, 0.4874, 0.4874)
P (0.7300, 0.7300, 0.7300)
W (0.2338, 0.2338, 0.2338)

Properties
* SG: R3m
* energy of formation: 0.030 eV/atom